<one>
This record from Alexandria via LeMat-Bulk describes an optimized crystal structure of TlCdF2. The functional is PBE.

abc: 3.5363 3.5363 23.9014
angles: 90.00 90.00 120.00
With the nearest neighbours (Å) after each atom.
Space group R-3m (No. 166, hexagonal axes)
Unique sites:
Tl: 0.0000 0.0000 0.0000 (multiplicity 3)  2 F 2.85
Cd: 0.0000 0.0000 0.5000 (multiplicity 3)  6 F 2.34
F: 0.0000 0.0000 0.1192 (multiplicity 6)  3 Cd 2.34

Output
* N(E_F): 0.30 states/eV per atom
* M_tot: 0.0 μB/f.u.

=====

<two>
This record from Alexandria via LeMat-Bulk describes an optimized crystal structure of TlCdF2. The functional is PBE.

abc: 6.6047 6.6047 6.6047
angles: 90.00 90.00 90.00
With the nearest neighbours (Å) after each atom.
Space group Fm-3m (No. 225)
Unique sites:
Tl: 0.0000 0.0000 0.0000 (multiplicity 4)  8 F 2.86
Cd: 0.0000 0.0000 0.5000 (multiplicity 4)  8 F 2.86
F: 0.2500 0.2500 0.2500 (multiplicity 8)  4 Cd 2.86, 4 Tl 2.86

Output
* N(E_F): 0.72 states/eV per atom
* M_tot: 0.0 μB/f.u.

=====

<three>
This record from Alexandria via LeMat-Bulk describes an optimized crystal structure of TlCdF2. The functional is PBE.

abc: 3.5077 3.5077 23.3458
angles: 90.00 90.00 120.00
With the nearest neighbours (Å) after each atom.
Space group R3m (No. 160, hexagonal axes)
Unique sites:
Tl: 0.0000 0.0000 0.0000 (multiplicity 3)  6 F 3.36-3.44, 6 Tl 3.51
Cd: 0.0000 0.0000 0.1687 (multiplicity 3)  6 F 2.33
F: 0.0000 0.0000 0.5516 (multiplicity 3)  3 Cd 2.33
F: 0.0000 0.0000 0.7859 (multiplicity 3)  3 Cd 2.33

Output
* N(E_F): 0.30 states/eV per atom
* M_tot: 0.0 μB/f.u.

=====

<four>
This record from Alexandria via LeMat-Bulk describes an optimized crystal structure of TlCdF2. The functional is PBE.

abc: 6.4027 6.4027 9.1550
angles: 90.00 90.00 90.00
With the nearest neighbours (Å) after each atom.
Space group I-42d (No. 122)
Unique sites:
Tl: 0.0000 0.0000 0.0000 (multiplicity 4)  4 F 2.80
Cd: 0.0000 0.0000 0.5000 (multiplicity 4)  4 F 2.31
F: 0.1888 0.2500 0.6250 (multiplicity 8)  2 Cd 2.31

Output
* N(E_F): 0.05 states/eV per atom
* M_tot: 0.0 μB/f.u.

=====

Least stable = <two>

=====

<one>
This record from Alexandria via LeMat-Bulk describes an optimized crystal structure of TlCdF2. The functional is PBE.

abc: 8.0229 3.4913 12.1671
angles: 90.00 90.00 90.00
With the nearest neighbours (Å) after each atom.
Space group Pnma (No. 62)
Unique sites:
Tl: 0.0116 0.2500 0.1766 (multiplicity 4)  7 F 2.73-3.05
Cd: 0.1360 0.7500 0.4728 (multiplicity 4)  3 F 2.22-2.36
F: 0.1776 0.7500 0.0165 (multiplicity 4)  2 Cd 2.36
F: 0.2484 0.2500 0.8070 (multiplicity 4)  1 Cd 2.22

Output
* N(E_F): 0.18 states/eV per atom
* M_tot: 0.0 μB/f.u.

=====

<two>
This record from Alexandria via LeMat-Bulk describes an optimized crystal structure of TlCdF2. The functional is PBE.

abc: 3.7159 3.7159 23.6765
angles: 90.00 90.00 120.00
With the nearest neighbours (Å) after each atom.
Space group R-3m (No. 166, hexagonal axes)
Unique sites:
Tl: 0.0000 0.0000 0.0000 (multiplicity 3)  6 F 2.77
Cd: 0.0000 0.0000 0.5000 (multiplicity 3)  2 F 2.20
F: 0.0000 0.0000 0.4073 (multiplicity 6)  1 Cd 2.20

Output
* N(E_F): 0.20 states/eV per atom
* M_tot: 0.0 μB/f.u.

=====

Least stable = <two>

=====

<one>
This record from Alexandria via LeMat-Bulk describes an optimized crystal structure of Tl3CdF. The functional is PBE.

abc: 5.2779 5.2779 5.2779
angles: 90.00 90.00 90.00
With the nearest neighbours (Å) after each atom.
Space group Pm-3m (No. 221)
Unique sites:
Tl: 0.0000 0.0000 0.5000 (multiplicity 3)  2 F 2.64
Cd: 0.5000 0.5000 0.5000 (multiplicity 1)  12 Tl 3.73
F: 0.0000 0.0000 0.0000 (multiplicity 1)  6 Tl 2.64

Output
* N(E_F): 0.64 states/eV per atom
* M_tot: 0.0 μB/f.u.

=====

<two>
This record from Alexandria via LeMat-Bulk describes an optimized crystal structure of Tl3CdF. The functional is PBE.

abc: 5.7550 5.7550 5.7550
angles: 90.00 90.00 90.00
With the nearest neighbours (Å) after each atom.
Space group Pm-3m (No. 221)
Unique sites:
Tl: 0.0000 0.0000 0.5000 (multiplicity 3)  2 Cd 2.88
Cd: 0.0000 0.0000 0.0000 (multiplicity 1)  6 Tl 2.88
F: 0.5000 0.5000 0.5000 (multiplicity 1)  12 Tl 4.07

Output
* N(E_F): 0.63 states/eV per atom
* M_tot: 0.0 μB/f.u.

=====

Least stable = <two>

=====

<one>
This record from Alexandria via LeMat-Bulk describes an optimized crystal structure of Tl2CdF. The functional is PBE.

abc: 7.3015 7.3015 7.3015
angles: 90.00 90.00 90.00
With the nearest neighbours (Å) after each atom.
Space group Fm-3m (No. 225)
Unique sites:
Tl: 0.2500 0.2500 0.2500 (multiplicity 8)  4 Cd 3.16, 4 F 3.16
Cd: 0.0000 0.0000 0.0000 (multiplicity 4)  8 Tl 3.16
F: 0.0000 0.0000 0.5000 (multiplicity 4)  8 Tl 3.16

Output
* N(E_F): 0.48 states/eV per atom
* M_tot: 0.0 μB/f.u.

=====

<two>
This record from Alexandria via LeMat-Bulk describes an optimized crystal structure of Tl2CdF. The functional is PBE.

abc: 3.6191 3.6191 27.1305
angles: 90.00 90.00 120.00
With the nearest neighbours (Å) after each atom.
Space group R-3m (No. 166, hexagonal axes)
Unique sites:
Tl: 0.0000 0.0000 0.2343 (multiplicity 6)  3 F 2.78
Cd: 0.0000 0.0000 0.0000 (multiplicity 3)  6 Tl 3.40, 6 Cd 3.62
F: 0.0000 0.0000 0.5000 (multiplicity 3)  6 Tl 2.78

Output
* N(E_F): 0.17 states/eV per atom
* M_tot: 0.0 μB/f.u.

=====

<three>
This record from Alexandria via LeMat-Bulk describes an optimized crystal structure of Tl2CdF. The functional is PBE.

abc: 3.3207 3.3207 9.0467
angles: 90.00 90.00 90.00
With the nearest neighbours (Å) after each atom.
Space group P4/mmm (No. 123)
Unique sites:
Tl: 0.0000 0.0000 0.1928 (multiplicity 2)  4 F 2.93
Cd: 0.5000 0.5000 0.5000 (multiplicity 1)  4 Cd 3.32, 8 Tl 3.64
F: 0.5000 0.5000 0.0000 (multiplicity 1)  8 Tl 2.93

Output
* N(E_F): 0.25 states/eV per atom
* M_tot: 0.0 μB/f.u.

=====

Least stable = <one>

=====

<one>
This record from Alexandria via LeMat-Bulk describes an optimized crystal structure of Tl2CdF. The functional is PBE.

abc: 3.5006 3.5006 28.8770
angles: 90.00 90.00 120.00
With the nearest neighbours (Å) after each atom.
Space group R3m (No. 160, hexagonal axes)
Unique sites:
Tl: 0.0000 0.0000 0.0000 (multiplicity 3)  3 F 2.77
Tl: 0.0000 0.0000 0.2030 (multiplicity 3)  3 F 2.75
Cd: 0.0000 0.0000 0.7684 (multiplicity 3)  6 Cd 3.50, 6 Tl 3.55-3.57
F: 0.0000 0.0000 0.6012 (multiplicity 3)  6 Tl 2.75-2.77

Output
* N(E_F): 0.61 states/eV per atom
* M_tot: 0.0 μB/f.u.

=====

<two>
This record from Alexandria via LeMat-Bulk describes an optimized crystal structure of Tl2CdF. The functional is PBE.

abc: 5.7614 5.7614 15.5914
angles: 90.00 90.00 90.00
With the nearest neighbours (Å) after each atom.
Space group I-42d (No. 122)
Unique sites:
Tl: 0.1626 0.2500 0.1250 (multiplicity 8)  2 F 2.60
Cd: 0.0000 0.0000 0.5000 (multiplicity 4)  4 Tl 3.11
F: 0.0000 0.0000 0.0000 (multiplicity 4)  4 Tl 2.60

Output
* N(E_F): 0.35 states/eV per atom
* M_tot: 0.0 μB/f.u.

=====

Least stable = <two>

=====

<one>
This record from Alexandria via LeMat-Bulk describes an optimized crystal structure of TlCd2F. The functional is PBE.

abc: 8.1048 8.1048 5.6736
angles: 90.00 90.00 90.00
With the nearest neighbours (Å) after each atom.
Space group I-42d (No. 122)
Unique sites:
Tl: 0.0000 0.0000 0.0000 (multiplicity 4)  2 F 2.84
Cd: 0.1928 0.7500 0.6250 (multiplicity 8)  2 F 2.66
F: 0.0000 0.0000 0.5000 (multiplicity 4)  4 Cd 2.66, 2 Tl 2.84

Output
* N(E_F): 0.18 states/eV per atom
* M_tot: 0.0 μB/f.u.

=====

<two>
This record from Alexandria via LeMat-Bulk describes an optimized crystal structure of TlCd2F. The functional is PBE.

abc: 3.4102 3.4102 29.3475
angles: 90.00 90.00 120.00
With the nearest neighbours (Å) after each atom.
Space group R-3m (No. 166, hexagonal axes)
Unique sites:
Tl: 0.0000 0.0000 0.0000 (multiplicity 3)  6 Cd 3.35, 6 Tl 3.41
Cd: 0.0000 0.0000 0.4259 (multiplicity 6)  1 F 2.18
F: 0.0000 0.0000 0.5000 (multiplicity 3)  2 Cd 2.18

Output
* N(E_F): 0.02 states/eV per atom
* M_tot: 0.0 μB/f.u.

=====

Least stable = <two>

=====

<one>
This record from Alexandria via LeMat-Bulk describes an optimized crystal structure of TlCd4F8. The functional is PBE.

abc: 5.8453 5.8453 5.8453
angles: 90.00 90.00 90.00
With the nearest neighbours (Å) after each atom.
Space group Pm-3m (No. 221)
Unique sites:
Tl: 0.0000 0.0000 0.0000 (multiplicity 1)  8 F 2.62, 6 Cd 2.92
Cd: 0.0000 0.0000 0.5000 (multiplicity 3)  8 F 2.56
Cd: 0.5000 0.5000 0.5000 (multiplicity 1)  8 F 2.44
F: 0.2585 0.2585 0.2585 (multiplicity 8)  4 Cd 2.44-2.56, 1 Tl 2.62

Output
* N(E_F): 0.31 states/eV per atom
* M_tot: 0.0 μB/f.u.

=====

<two>
This record from Alexandria via LeMat-Bulk describes an optimized crystal structure of TlCd4F8. The functional is PBE.

abc: 7.0961 7.0961 19.4541
angles: 90.00 90.00 120.00
With the nearest neighbours (Å) after each atom.
Space group R-3m (No. 166, hexagonal axes)
Unique sites:
Tl: 0.0000 0.0000 0.0000 (multiplicity 3)  6 F 2.92
Cd: 0.0000 0.0000 0.5000 (multiplicity 3)  6 F 2.36
Cd: 0.0000 0.5000 0.5000 (multiplicity 9)  6 F 2.30-2.33
F: 0.0000 0.0000 0.2207 (multiplicity 6)  3 Cd 2.30
F: 0.0039 0.5019 0.7751 (multiplicity 18)  3 Cd 2.33-2.36

Output
* N(E_F): 0.11 states/eV per atom
* M_tot: 0.0 μB/f.u.

=====

Least stable = <one>